1.
# PBE NaS, optimized geometry
data_NaS
_chemical_formula_sum 'Na2 S2'
_cell_length_a 4.4423
_cell_length_b 4.8441
_cell_length_c 4.8887
_cell_angle_alpha 90.00
_cell_angle_beta 116.88
_cell_angle_gamma 90.00
_space_group_name_H-M_alt 'P 1 21/m 1'
_space_group_IT_number 11
loop_
_space_group_symop_operation_xyz
'x,y,z'
'-x,-y,-z'
'-x,y+1/2,-z'
'x,-y+1/2,z'
loop_
_atom_site_label
_atom_site_fract_x
_atom_site_fract_y
_atom_site_fract_z
_atom_site_occupancy
Na1 0.1427 0.2500 0.2861 1
S1 0.4618 0.2500 0.9220 1
# - final energy (eV for the cell shown) = -13.5
# - relative energy among the computed polymorphs (kJ per mole of atoms) = 16.13
# - energy relative to the elements, uncorrected (eV/atom) = -0.663
# - DOS at the Fermi energy (states/eV per atom) = 0.574
# - total moment (μB per cell) = 0.000

2.
# PBE NaSbS3, optimized geometry
data_NaSbS3
_chemical_formula_sum 'Na2 Sb2 S6'
_cell_length_a 4.9396
_cell_length_b 6.5919
_cell_length_c 8.3419
_cell_angle_alpha 90.00
_cell_angle_beta 92.01
_cell_angle_gamma 90.00
_space_group_name_H-M_alt 'P 1 21 1'
_space_group_IT_number 4
loop_
_space_group_symop_operation_xyz
'x,y,z'
'-x,y+1/2,-z'
loop_
_atom_site_label
_atom_site_fract_x
_atom_site_fract_y
_atom_site_fract_z
_atom_site_occupancy
Na1 0.2132 0.0000 0.3211 1
Sb1 0.2495 0.0314 0.8500 1
S1 0.0984 0.5982 0.3873 1
S2 0.3392 0.3869 0.8681 1
S3 0.4215 0.4056 0.3650 1
# - final energy (eV for the cell shown) = -40.1
# - relative energy among the computed polymorphs (kJ per mole of atoms) = 0.00
# - energy relative to the elements, uncorrected (eV/atom) = -0.447
# - total moment (μB per cell) = 0.000

3.
# PBE CrAu3, optimized geometry
data_CrAu3
_chemical_formula_sum 'Cr1 Au3'
_cell_length_a 2.9584
_cell_length_b 2.9584
_cell_length_c 9.3297
_cell_angle_alpha 90.00
_cell_angle_beta 90.00
_cell_angle_gamma 120.00
_space_group_name_H-M_alt 'P -6 m 2'
_space_group_IT_number 187
_space_group_name_Hall 'P -6 2'
loop_
_atom_site_label
_atom_site_fract_x
_atom_site_fract_y
_atom_site_fract_z
_atom_site_occupancy
Cr1 0.0000 0.0000 0.0000 1
Au1 0.0000 0.0000 0.5000 1
Au2 0.6667 0.3333 0.2355 1
# - final energy (eV for the cell shown) = -18.6
# - ΔE_f (eV per atom) = 0.2075
# - DOS at the Fermi energy (states/eV per atom) = 0.583
# - total moment (μB per cell) = 4.007

4.
# PBE Mg2TaH2, optimized geometry
data_Mg2TaH2
_chemical_formula_sum 'Mg4 Ta2 H4'
_cell_length_a 3.6970
_cell_length_b 3.6970
_cell_length_c 9.9411
_cell_angle_alpha 90.00
_cell_angle_beta 90.00
_cell_angle_gamma 90.00
_space_group_name_H-M_alt 'I 4/m m m'
_space_group_IT_number 139
_space_group_name_Hall '-I 4 2'
loop_
_atom_site_label
_atom_site_fract_x
_atom_site_fract_y
_atom_site_fract_z
_atom_site_occupancy
Mg1 0.0000 0.5000 0.2500 1
Ta1 0.0000 0.0000 0.0000 1
H1 0.0000 0.0000 0.4540 1
# - final energy (eV for the cell shown) = -35.0
# - relative energy among the computed polymorphs (kJ per mole of atoms) = 53.32
# - DOS at the Fermi energy (states/eV per atom) = 0.782
# - total moment (μB per cell) = 0.989

5.
# PBE MnP3, optimized geometry
data_MnP3
_chemical_formula_sum 'Mn1 P3'
_cell_length_a 4.6489
_cell_length_b 4.6489
_cell_length_c 2.5811
_cell_angle_alpha 90.00
_cell_angle_beta 90.00
_cell_angle_gamma 90.00
_space_group_name_H-M_alt 'P 4/m m m'
_space_group_IT_number 123
_space_group_name_Hall '-P 4 2'
loop_
_atom_site_label
_atom_site_fract_x
_atom_site_fract_y
_atom_site_fract_z
_atom_site_occupancy
Mn1 0.0000 0.0000 0.0000 1
P1 0.0000 0.5000 0.5000 1
P2 0.5000 0.5000 0.0000 1
# - final energy (eV for the cell shown) = -23.8
# - relative energy among the computed polymorphs (kJ per mole of atoms) = 54.35
# - ΔE_f (eV per atom) = 0.4041
# - DOS at the Fermi energy (states/eV per atom) = 0.550
# - total moment (μB per cell) = 3.382

6.
# PBE TaIn2Tc, optimized geometry
data_TaIn2Tc
_chemical_formula_sum 'Ta1 In2 Tc1'
_cell_length_a 2.9790
_cell_length_b 2.9790
_cell_length_c 8.4949
_cell_angle_alpha 90.00
_cell_angle_beta 90.00
_cell_angle_gamma 90.00
_space_group_name_H-M_alt 'P 4/m m m'
_space_group_IT_number 123
_space_group_name_Hall '-P 4 2'
loop_
_atom_site_label
_atom_site_fract_x
_atom_site_fract_y
_atom_site_fract_z
_atom_site_occupancy
Ta1 0.0000 0.0000 0.0000 1
In1 0.5000 0.5000 0.2637 1
Tc1 0.0000 0.0000 0.5000 1
# - final energy (eV for the cell shown) = -26.2
# - relative energy among the computed polymorphs (kJ per mole of atoms) = 28.39
# - ΔE_f (eV per atom) = 0.3723
# - DOS at the Fermi energy (states/eV per atom) = 0.677
# - total moment (μB per cell) = 1.691

7.
# PBE Pm2PuMgTl4, optimized geometry
data_Pm2PuMgTl4
_chemical_formula_sum 'Pm6 Pu3 Mg3 Tl12'
_cell_length_a 5.3492
_cell_length_b 5.3492
_cell_length_c 27.1224
_cell_angle_alpha 90.00
_cell_angle_beta 90.00
_cell_angle_gamma 120.00
_space_group_name_H-M_alt 'R -3 m'
_space_group_IT_number 166
_space_group_name_Hall '-R 3 2"'
loop_
_atom_site_label
_atom_site_fract_x
_atom_site_fract_y
_atom_site_fract_z
_atom_site_occupancy
Pm1 0.0000 0.0000 0.2442 1
Pu1 0.0000 0.0000 0.0000 1
Mg1 0.0000 0.0000 0.5000 1
Tl1 0.0000 0.0000 0.1244 1
Tl2 0.0000 0.0000 0.3746 1
# - final energy (eV for the cell shown) = -109.4
# - ΔE_f (eV per atom) = -0.1963
# - DOS at the Fermi energy (states/eV per atom) = 1.736
# - total moment (μB per cell) = 18.756

8.
# PBE Al2Zn2Ge, optimized geometry
data_Al2Zn2Ge
_chemical_formula_sum 'Al4 Zn4 Ge2'
_cell_length_a 3.6749
_cell_length_b 3.6749
_cell_length_c 13.1808
_cell_angle_alpha 90.00
_cell_angle_beta 90.00
_cell_angle_gamma 90.00
_space_group_name_H-M_alt 'I 4/m m m'
_space_group_IT_number 139
_space_group_name_Hall '-I 4 2'
loop_
_atom_site_label
_atom_site_fract_x
_atom_site_fract_y
_atom_site_fract_z
_atom_site_occupancy
Al1 0.0000 0.0000 0.0992 1
Zn1 0.0000 0.5000 0.2500 1
Ge1 0.0000 0.0000 0.5000 1
# - final energy (eV for the cell shown) = -27.5
# - relative energy among the computed polymorphs (kJ per mole of atoms) = 2.41
# - ΔE_f (eV per atom) = 0.1841
# - DOS at the Fermi energy (states/eV per atom) = 0.362
# - total moment (μB per cell) = 0.000